# 1
Density functional theory data (PBE-GGA) for a relaxed structure of HgRh.

Unit cell a=8.216 b=8.216 c=8.216 alpha=90.00 beta=90.00 gamma=90.00
Atoms (fractional coordinates):
Hg 0.796 0.204 0.204
Hg 0.296 0.296 0.296
Hg 0.704 0.296 0.704
Hg 0.704 0.704 0.296
Hg 0.204 0.796 0.204
Hg 0.796 0.796 0.796
Hg 0.296 0.704 0.704
Hg 0.204 0.204 0.796
Rh 0.888 0.112 0.888
Rh 0.888 0.888 0.112
Rh 0.612 0.388 0.388
Rh 0.388 0.388 0.612
Rh 0.612 0.612 0.612
Rh 0.388 0.612 0.388
Rh 0.112 0.888 0.888
Rh 0.112 0.112 0.112

Calculated values
The formation energy from the elements is 0.76 eV/atom. The density of states at the Fermi level is 2.90 states/eV/f.u.

=====

# 2
Density functional theory data (PBE-GGA) for a relaxed structure of KTl12Bi6.

Unit cell a=9.461 b=9.461 c=9.461 alpha=109.47 beta=109.47 gamma=109.47
Atoms (fractional coordinates):
Bi 0.500 0.140 0.640
Bi 0.860 0.360 0.500
Bi 0.640 0.500 0.140
Bi 0.500 0.860 0.360
Bi 0.140 0.640 0.500
Bi 0.360 0.500 0.860
K 0.000 0.000 0.000
Tl 0.933 0.196 0.737
Tl 0.263 0.067 0.804
Tl 0.263 0.459 0.196
Tl 0.737 0.933 0.196
Tl 0.804 0.737 0.541
Tl 0.459 0.196 0.263
Tl 0.541 0.804 0.737
Tl 0.067 0.804 0.263
Tl 0.737 0.541 0.804
Tl 0.196 0.737 0.933
Tl 0.196 0.263 0.459
Tl 0.804 0.263 0.067

Calculated values
The formation energy from the elements is -0.01 eV/atom. The density of states at the Fermi level is 5.99 states/eV/f.u.

=====

# 3
Density functional theory data (PBE-GGA) for a relaxed structure of CaHfMn2V.

Unit cell a=4.595 b=5.097 c=4.595 alpha=90.00 beta=90.00 gamma=90.00
Atoms (fractional coordinates):
Ca 0.000 0.000 0.000
V 0.500 0.500 0.500
Hf 0.000 0.500 0.000
Mn 0.000 0.000 0.500
Mn 0.500 0.000 0.000

Calculated values
The formation energy from the elements is 2.01 eV/atom. The density of states at the Fermi level is 4.97 states/eV/f.u.